No. 1
A plane-wave DFT calculation with GGA-PBE was carried out for a geometry-optimized Mg5Bi3Se12 structure.

Summary:
ΔE_f (raw) = -0.471 eV/atom
Calculated volume = 27.26 Å³/atom

Structure (CIF):
```
data_Mg5Bi3Se12
_chemical_formula_sum 'Mg40 Bi24 Se96'
_cell_length_a 16.338
_cell_length_b 16.338
_cell_length_c 16.338
_cell_angle_alpha 90.00
_cell_angle_beta 90.00
_cell_angle_gamma 90.00
_symmetry_space_group_name_H-M 'I a -3 d'
_symmetry_Int_Tables_number 230
_symmetry_space_group_name_Hall '-I 4bd 2c 3'
loop_
_atom_site_label
_atom_site_type_symbol
_atom_site_fract_x
_atom_site_fract_y
_atom_site_fract_z
Mg1 Mg 0.000 0.000 0.000
Mg2 Mg 0.000 0.250 0.375
Bi1 Bi 0.000 0.250 0.125
Se1 Se 0.027 0.068 0.650
```

=====

No. 2
A plane-wave DFT calculation with GGA-PBE was carried out for a geometry-optimized HgPt2Cl structure.

Summary:
ΔE_f (raw) = 0.486 eV/atom
Calculated volume = 18.09 Å³/atom
Energy above the most stable polymorph in this dataset = 377 meV per atom

Structure (CIF):
```
data_HgPt2Cl
_chemical_formula_sum 'Hg2 Pt4 Cl2'
_cell_length_a 4.128
_cell_length_b 4.128
_cell_length_c 8.489
_cell_angle_alpha 90.00
_cell_angle_beta 90.00
_cell_angle_gamma 90.00
_symmetry_space_group_name_H-M 'I 4/m m m'
_symmetry_Int_Tables_number 139
_symmetry_space_group_name_Hall '-I 4 2'
loop_
_atom_site_label
_atom_site_type_symbol
_atom_site_fract_x
_atom_site_fract_y
_atom_site_fract_z
Hg1 Hg 0.000 0.000 0.000
Pt1 Pt 0.000 0.500 0.250
Cl1 Cl 0.000 0.000 0.500
```

=====

No. 3
A plane-wave DFT calculation with GGA-PBE was carried out for a geometry-optimized PuAg6F12 structure.

Summary:
ΔE_f (raw) = -1.707 eV/atom
Calculated volume = 16.91 Å³/atom

Structure (CIF):
```
data_PuAg6F12
_chemical_formula_sum 'Pu3 Ag18 F36'
_cell_length_a 10.5649
_cell_length_b 10.5649
_cell_length_c 9.9738
_cell_angle_alpha 90.00
_cell_angle_beta 90.00
_cell_angle_gamma 120.00
_symmetry_space_group_name_H-M 'R -3'
_symmetry_Int_Tables_number 148
_symmetry_space_group_name_Hall '-R 3'
loop_
_atom_site_label
_atom_site_type_symbol
_atom_site_fract_x
_atom_site_fract_y
_atom_site_fract_z
Pu1 Pu 0.0000 0.0000 0.0000
Ag1 Ag 0.0276 0.2408 0.6392
F1 F 0.0103 0.2255 0.3928
F2 F 0.0307 0.1780 0.8786
```

=====

D(E_F) for the records above, in order: 1.136 0.870 1.095 states/eV per atom